[1]
Density functional theory data (GGA-PBE) for Cs2RbPtI6 after structural relaxation.

```
10
Lattice="8.835 0.000 0.000 0.000 8.835 0.000 4.418 4.418 6.211" Properties=species:S:1:pos:R:3 pbc="T T T"
I 1.960 6.875 0.000
Cs 4.418 8.835 3.106
I 8.835 8.835 2.739
I 1.960 1.960 0.000
I 6.875 1.960 0.000
Rb 4.418 4.418 0.000
Cs 8.835 4.418 3.106
I 6.875 6.875 0.000
I 4.418 4.418 3.472
Pt 0.000 0.000 0.000
```

raw formation energy: -0.888 eV per atom
electronic total energy: -2.690 eV per atom
offset from the most stable computed form: 27.2 meV per atom
volume: 484.9 Å³/f.u.

[2]
Density functional theory data (GGA-PBE) for Cs2PtSI6 after structural relaxation.

```
10
Lattice="-8.026 -1.610 0.753 1.588 -8.060 -0.313 -2.669 -4.945 5.851" Properties=species:S:1:pos:R:3 pbc="T T T"
I -6.165 -9.725 3.229
S -3.219 -4.835 0.220
I -5.745 -3.141 0.500
I -0.693 -6.529 -0.060
Cs -2.150 -8.920 2.879
Pt 0.000 0.000 0.000
I -1.528 -2.294 0.104
I -2.941 -4.891 3.062
I -4.911 -7.376 0.335
Cs -6.957 -5.695 3.412
```

raw formation energy: -0.598 eV per atom
electronic total energy: -2.715 eV per atom
volume: 382.4 Å³/f.u.

The lowest electronic total energy belongs to which entry? Cs2PtSI6

Which value of volume does entry 1 give? 484.9 Å³/f.u.

Which value of volume does entry 1 give? 484.9 Å³/f.u.